No. 1
! Ac3Ga2CoO9 PBE+U optimized geometry; values from VASP
&SYSTEM
  ibrav = 0, nat = 15, ntyp = 4
/
ATOMIC_SPECIES
Ac 227.00 Ac.upf
Ga 69.72 Ga.upf
Co 58.93 Co.upf
O 16.00 O.upf
CELL_PARAMETERS angstrom
5.5800 0.0000 0.0000
-2.7900 4.8325 0.0000
0.0000 0.0000 6.8342
ATOMIC_POSITIONS crystal
Ac 0.0000 0.0000 0.0000
Ac 0.3333 0.6667 0.6609
Ac 0.6667 0.3333 0.3391
Ga 0.3333 0.6667 0.1661
Ga 0.6667 0.3333 0.8339
Co 0.0000 0.0000 0.5000
O 0.0000 0.5000 0.0000
O 0.1648 0.3296 0.3359
O 0.1648 0.8352 0.3359
O 0.3296 0.1648 0.6641
O 0.5000 0.0000 0.0000
O 0.5000 0.5000 0.0000
O 0.6704 0.8352 0.3359
O 0.8352 0.1648 0.6641
O 0.8352 0.6704 0.6641
! energy = -105.50 eV/cell



No. 2
! Ac4Ga3CoO12 PBE+U optimized geometry; values from VASP
&SYSTEM
  ibrav = 0, nat = 20, ntyp = 4
/
ATOMIC_SPECIES
Ac 227.00 Ac.upf
Ga 69.72 Ga.upf
Co 58.93 Co.upf
O 16.00 O.upf
CELL_PARAMETERS angstrom
-3.9532 3.9532 3.9532
3.9532 -3.9532 3.9532
3.9532 3.9532 -3.9532
ATOMIC_POSITIONS crystal
Ac 0.0000 0.0000 0.5000
Ac 0.0000 0.5000 0.0000
Ac 0.5000 0.0000 0.0000
Ac 0.5000 0.5000 0.5000
Ga 0.0000 0.5000 0.5000
Ga 0.5000 0.0000 0.5000
Ga 0.5000 0.5000 0.0000
Co 0.0000 0.0000 0.0000
O 0.0000 0.2466 0.2466
O 0.0000 0.7534 0.7534
O 0.2466 0.0000 0.2466
O 0.2466 0.2466 0.0000
O 0.2500 0.5000 0.7500
O 0.2500 0.7500 0.5000
O 0.5000 0.2500 0.7500
O 0.5000 0.7500 0.2500
O 0.7500 0.2500 0.5000
O 0.7500 0.5000 0.2500
O 0.7534 0.0000 0.7534
O 0.7534 0.7534 0.0000
! energy = -140.76 eV/cell



No. 3
! AcGaCoO4 PBE+U optimized geometry; values from VASP
&SYSTEM
  ibrav = 0, nat = 14, ntyp = 4
/
ATOMIC_SPECIES
Ac 227.00 Ac.upf
Ga 69.72 Ga.upf
Co 58.93 Co.upf
O 16.00 O.upf
CELL_PARAMETERS angstrom
5.5581 0.0000 0.0000
0.0000 5.7150 0.0000
-1.5083 0.0000 6.3292
ATOMIC_POSITIONS crystal
Ac 0.2491 0.2500 0.0486
Ac 0.7509 0.7500 0.9514
Ga 0.2903 0.7500 0.3415
Ga 0.7097 0.2500 0.6585
Co 0.1291 0.2500 0.5109
Co 0.8708 0.7500 0.4891
O 0.0242 0.5215 0.2908
O 0.0242 0.9785 0.2908
O 0.3811 0.7500 0.0845
O 0.4567 0.2500 0.4256
O 0.5433 0.7500 0.5744
O 0.6189 0.2500 0.9155
O 0.9758 0.0215 0.7092
O 0.9758 0.4785 0.7092
! energy = -92.88 eV/cell